Density functional theory data (GGA+U) for Li5Nb2V3O10 after structural relaxation.

Summary:
crystal system	triclinic
DFT total energy	-7.203	eV/atom
total moment	7.999	Bohr magnetons per cell
DOS at the Fermi energy	1.69	states/eV per cell

a b c (Å): 5.272 5.274 7.891
angles (deg): 72.09 72.66 78.67
Fractional coordinates of all 20 atoms:
1 Li 0.000 0.000 0.000
2 Li 0.486 0.731 0.093
3 Li 0.487 0.892 0.716
4 Li 0.513 0.108 0.284
5 Li 0.514 0.269 0.907
6 Nb 0.009 0.409 0.177
7 Nb 0.991 0.591 0.823
8 V 0.001 0.195 0.606
9 V 0.500 0.500 0.500
10 V 0.999 0.805 0.394
11 O 0.234 0.069 0.154
12 O 0.243 0.827 0.564
13 O 0.246 0.444 0.361
14 O 0.251 0.660 0.955
15 O 0.256 0.273 0.746
16 O 0.744 0.727 0.254
17 O 0.749 0.340 0.045
18 O 0.754 0.556 0.639
19 O 0.757 0.173 0.436
20 O 0.766 0.931 0.846